The following is a DFT calculation (PBE-GGA) of a geometry-optimized Eu3Ga structure.

The energy relative to the elements comes out at -136 meV per atom. The total DFT energy (no corrections) is -34.4 eV/f.u. The spin magnetization is 44.14 Bohr magnetons per cell.

The structure belongs to space group I4/mmm (No. 139); the cell edges are 5.093, 5.093 and 9.575 Å and the angles 90.00°, 90.00° and 90.00°. The inequivalent atoms are Eu at (0.000, 0.000, 0.000), Eu at (0.000, 0.500, 0.250) and Ga at (0.000, 0.000, 0.500).